# 1
Cd4SnHg3 (PBE, optimized geometry); DFT total energy = -1.028 eV/atom; space-group type = No. 44; E_form = 0.04 eV/atom; Fermi-level density of states = 0.298 states/eV per atom
1.0
-6.0778 1.8379 -2.8163
4.1578 -5.2221 -1.9213
1.1435 -3.4126 5.9409
Cd Sn Hg
4 1 3
direct
0.1138 0.7699 0.8837
0.1138 0.2301 0.3438
0.5593 0.2449 0.3144
0.0695 0.7551 0.3144
0.2636 0.5000 0.7636
0.6161 0.2732 0.8893
0.7988 0.0000 0.7988
0.6161 0.7268 0.3429

---

# 2
Cd2Sn2Hg5 (PBE, optimized geometry); DFT total energy = -1.215 eV/atom; space-group type = No. 64; E_form = 0.05 eV/atom; Fermi-level density of states = 0.353 states/eV per atom
1.0
-4.9767 -8.1466 8.3558
-4.9619 -0.1326 -3.0846
4.7361 -4.8168 -1.8754
Cd Sn Hg
4 4 10
direct
0.6190 0.9962 0.0000
0.3810 0.0038 0.0000
0.1190 0.5038 0.0000
0.8810 0.4962 0.0000
0.0000 0.2831 0.5663
0.5000 0.7831 0.5663
0.0000 0.7169 0.4337
0.5000 0.2169 0.4337
0.0000 0.0000 0.0000
0.5000 0.5000 0.0000
0.8026 0.1349 0.2849
0.1974 0.1500 0.2849
0.3026 0.6500 0.2849
0.6974 0.6349 0.2849
0.1974 0.8651 0.7151
0.8026 0.8500 0.7151
0.6974 0.3500 0.7151
0.3026 0.3651 0.7151

---

# 3
Cd7Sn3Hg (PBE, optimized geometry); DFT total energy = -1.610 eV/atom; space-group type = No. 12; E_form = 0.09 eV/atom; Fermi-level density of states = 0.294 states/eV per atom
1.0
5.6882 -0.0875 -0.1120
-2.6667 7.2722 0.2200
-2.6667 -1.5496 7.1086
Cd Sn Hg
7 3 1
direct
0.1751 0.1812 0.1812
0.3333 0.0719 0.5906
0.6667 0.4094 0.9281
0.3333 0.5906 0.0719
0.0000 0.5000 0.5000
0.6667 0.9281 0.4094
0.8249 0.8188 0.8188
0.0000 0.7644 0.2356
0.5000 0.0000 0.0000
0.0000 0.2356 0.7644
0.5000 0.5000 0.5000

---

# 4
CdSnHg2 (PBE, optimized geometry); DFT total energy = -1.322 eV/atom; space-group type = No. 123; E_form = 0.06 eV/atom; Fermi-level density of states = 0.378 states/eV per atom
1.0
-3.3480 -0.9771 0.6282
0.6761 -3.1975 -1.3701
2.1324 -2.6514 7.2399
Cd Hg Sn
1 2 1
direct
0.5000 0.5000 0.0000
0.0000 0.0000 0.7609
0.0000 0.0000 0.2391
0.5000 0.5000 0.5000

---

# 5
Cd14SnHg (PBE, optimized geometry); DFT total energy = -1.046 eV/atom; space-group type = No. 38; E_form = 0.02 eV/atom; Fermi-level density of states = 0.272 states/eV per atom
1.0
-3.5056 -0.9376 5.0782
-2.8623 -1.9381 -5.1968
4.2267 -9.4083 1.1806
Cd Sn Hg
14 1 1
direct
0.2089 0.7911 0.0000
0.7239 0.2761 0.0000
0.0251 0.4700 0.5000
0.2312 0.2969 0.0000
0.5300 0.9749 0.5000
0.7031 0.7688 0.0000
0.3929 0.1360 0.7557
0.3929 0.1360 0.2443
0.8640 0.6071 0.7557
0.8640 0.6071 0.2443
0.3691 0.6309 0.7514
0.3691 0.6309 0.2486
0.8857 0.1143 0.7602
0.8857 0.1143 0.2398
0.0278 0.9722 0.5000
0.5264 0.4736 0.5000

---

# 6
Cd3SnHg2 (PBE, optimized geometry); DFT total energy = -1.193 eV/atom; space-group type = No. 2; E_form = 0.03 eV/atom; Fermi-level density of states = 0.247 states/eV per atom
1.0
5.7502 -0.4611 1.1865
-0.7186 5.2052 -3.1306
1.9185 -2.2843 11.8364
Cd Sn Hg
6 2 4
direct
0.2414 0.0845 0.1108
0.7586 0.9155 0.8892
0.2457 0.1000 0.7448
0.7543 0.9000 0.2552
0.7481 0.6940 0.5678
0.2519 0.3060 0.4322
0.7266 0.3604 0.2320
0.2734 0.6396 0.7680
0.7624 0.4351 0.9081
0.2376 0.5649 0.0919
0.2484 0.7888 0.4155
0.7516 0.2112 0.5845